Entry 1:
The following is a DFT calculation (PBE-GGA) of an optimized crystal structure of Na2Sr2Hg.

```
data_Na2Sr2Hg
_chemical_formula_sum 'Na4 Sr4 Hg2'
_cell_length_a 4.054
_cell_length_b 4.054
_cell_length_c 23.158
_cell_angle_alpha 90.00
_cell_angle_beta 90.00
_cell_angle_gamma 90.00
_space_group_name_H-M_alt 'P 1'
_space_group_IT_number 1
loop_
_space_group_symop_operation_xyz
'x,y,z'
loop_
_atom_site_label
_atom_site_fract_x
_atom_site_fract_y
_atom_site_fract_z
Na1 0.000 0.000 0.203
Na2 0.000 0.000 0.797
Na3 0.500 0.500 0.297
Na4 0.500 0.500 0.703
Sr1 0.000 0.000 0.417
Sr2 0.000 0.000 0.583
Sr3 0.500 0.500 0.083
Sr4 0.500 0.500 0.917
Hg1 0.000 0.000 0.000
Hg2 0.500 0.500 0.500
```

Values from the calculation:
Size of the total moment   0.00 μB per cell
Formation energy   -229.2 meV per atom
E above lowest polymorph   0 meV/atom

Entry 2:
The following is a DFT calculation (PBE-GGA) of an optimized crystal structure of CeH8Ir2Pd.

```
data_CeH8Ir2Pd
_chemical_formula_sum 'Ce1 H8 Ir2 Pd1'
_cell_length_a 6.133
_cell_length_b 6.133
_cell_length_c 6.133
_cell_angle_alpha 46.49
_cell_angle_beta 46.49
_cell_angle_gamma 46.49
_space_group_name_H-M_alt 'P 1'
_space_group_IT_number 1
loop_
_space_group_symop_operation_xyz
'x,y,z'
loop_
_atom_site_label
_atom_site_fract_x
_atom_site_fract_y
_atom_site_fract_z
Ce1 0.000 0.000 0.000
H1 0.118 0.812 0.417
H2 0.188 0.583 0.882
H3 0.315 0.315 0.315
H4 0.417 0.118 0.812
H5 0.583 0.882 0.188
H6 0.685 0.685 0.685
H7 0.812 0.417 0.118
H8 0.882 0.188 0.583
Ir1 0.214 0.214 0.214
Ir2 0.786 0.786 0.786
Pd1 0.500 0.500 0.500
```

Values from the calculation:
DFT total energy   -4.78 eV/atom
Size of the total moment   0.84 μB per cell

Entry 3:
The following is a DFT calculation (PBE-GGA) of an optimized crystal structure of HoEr5Cd4.

```
data_HoEr5Cd4
_chemical_formula_sum 'Ho1 Er5 Cd4'
_cell_length_a 3.639
_cell_length_b 3.639
_cell_length_c 20.275
_cell_angle_alpha 90.00
_cell_angle_beta 90.00
_cell_angle_gamma 90.00
_space_group_name_H-M_alt 'P 1'
_space_group_IT_number 1
loop_
_space_group_symop_operation_xyz
'x,y,z'
loop_
_atom_site_label
_atom_site_fract_x
_atom_site_fract_y
_atom_site_fract_z
Ho1 0.000 0.000 0.000
Er1 0.500 0.500 0.119
Er2 0.500 0.500 0.312
Er3 0.500 0.500 0.500
Er4 0.500 0.500 0.688
Er5 0.500 0.500 0.881
Cd1 0.000 0.000 0.216
Cd2 0.000 0.000 0.405
Cd3 0.000 0.000 0.595
Cd4 0.000 0.000 0.784
```

Values from the calculation:
Size of the total moment   0.00 μB per cell
Formation energy   -236.0 meV per atom

Entry 4:
The following is a DFT calculation (PBE-GGA) of an optimized crystal structure of NiHgHPd2.

```
data_NiHgHPd2
_chemical_formula_sum 'Ni1 Hg1 H1 Pd2'
_cell_length_a 4.102
_cell_length_b 4.102
_cell_length_c 3.849
_cell_angle_alpha 90.00
_cell_angle_beta 90.00
_cell_angle_gamma 90.00
_space_group_name_H-M_alt 'P 1'
_space_group_IT_number 1
loop_
_space_group_symop_operation_xyz
'x,y,z'
loop_
_atom_site_label
_atom_site_fract_x
_atom_site_fract_y
_atom_site_fract_z
Ni1 0.000 0.000 0.000
Hg1 0.500 0.500 0.000
H1 0.000 0.000 0.500
Pd1 0.000 0.500 0.500
Pd2 0.500 0.000 0.500
```

Values from the calculation:
Size of the total moment   0.42 μB per cell
E above lowest polymorph   0 meV/atom

Entry 5:
The following is a DFT calculation (PBE-GGA) of an optimized crystal structure of TbPr3Er3Se8.

```
data_TbPr3Er3Se8
_chemical_formula_sum 'Tb1 Pr3 Er3 Se8'
_cell_length_a 8.327
_cell_length_b 8.327
_cell_length_c 8.327
_cell_angle_alpha 59.15
_cell_angle_beta 59.15
_cell_angle_gamma 59.15
_space_group_name_H-M_alt 'P 1'
_space_group_IT_number 1
loop_
_space_group_symop_operation_xyz
'x,y,z'
loop_
_atom_site_label
_atom_site_fract_x
_atom_site_fract_y
_atom_site_fract_z
Tb1 0.000 0.000 0.000
Pr1 0.000 0.000 0.500
Pr2 0.000 0.500 0.000
Pr3 0.500 0.000 0.000
Er1 0.000 0.500 0.500
Er2 0.500 0.000 0.500
Er3 0.500 0.500 0.000
Se1 0.251 0.251 0.736
Se2 0.251 0.736 0.251
Se3 0.257 0.257 0.257
Se4 0.264 0.749 0.749
Se5 0.736 0.251 0.251
Se6 0.743 0.743 0.743
Se7 0.749 0.264 0.749
Se8 0.749 0.749 0.264
```

Values from the calculation:
Size of the total moment   0.00 μB per cell
Formation energy without anion corrections   -27.63 eV/f.u.

Entry 6:
The following is a DFT calculation (PBE-GGA) of an optimized crystal structure of AcNd6Sm4.

```
data_AcNd6Sm4
_chemical_formula_sum 'Ac1 Nd6 Sm4'
_cell_length_a 10.112
_cell_length_b 10.112
_cell_length_c 10.112
_cell_angle_alpha 141.26
_cell_angle_beta 141.26
_cell_angle_gamma 55.94
_space_group_name_H-M_alt 'P 1'
_space_group_IT_number 1
loop_
_space_group_symop_operation_xyz
'x,y,z'
loop_
_atom_site_label
_atom_site_fract_x
_atom_site_fract_y
_atom_site_fract_z
Ac1 0.000 0.000 0.000
Nd1 0.000 0.500 0.500
Nd2 0.190 0.550 0.000
Nd3 0.450 0.450 0.640
Nd4 0.500 0.000 0.500
Nd5 0.550 0.190 0.000
Nd6 0.810 0.810 0.360
Sm1 0.008 0.008 0.380
Sm2 0.371 0.992 0.000
Sm3 0.629 0.629 0.620
Sm4 0.992 0.371 0.000
```

Values from the calculation:
Size of the total moment   0.00 μB per cell
Formation energy   307.7 meV per atom
E above lowest polymorph   0 meV/atom